Record 1
The following is a DFT calculation (GGA-PBE) of a relaxed DyHoCu crystal.

Lattice parameters (Å, degrees): 4.778 4.778 4.778 60.00 60.00 60.00
Element x y z (fractional)
Ho (0.750, 0.750, 0.750)
Dy (0.000, 0.000, 0.000)
Cu (0.250, 0.250, 0.250)

Calculated density = 8.4 g cm⁻³
Relative energy among the computed polymorphs = 35.7 meV/atom
ΔE_f = 0.711 eV/atom
Total magnetization = 0.001 μB per atom
Symmetry = F-43m



Record 2
The following is a DFT calculation (GGA-PBE) of a relaxed DyHoCu crystal.

Lattice parameters (Å, degrees): 5.345 5.345 3.035 90.00 90.00 120.00
Element x y z (fractional)
Dy (0.667, 0.333, 0.000)
Cu (0.000, 0.000, 0.000)
Ho (0.333, 0.667, 0.000)

Calculated density = 8.6 g cm⁻³
Relative energy among the computed polymorphs = 0.0 meV/atom
ΔE_f = 0.676 eV/atom
Total magnetization = 0.051 μB per atom
Symmetry = P-6m2